No. 1
# MgSi2Ni

An optimized crystal structure of MgSi2Ni (PBE, the Alexandria database).

electronic total energy: -4.610 eV per atom
DOS(E_F): 1.8 states/eV/cell
formation energy from raw total energies: -5.25 kJ/mol of atoms

```
4
Lattice="-1.411 -4.035 -0.267 0.400 -3.713 2.096 -4.217 -0.045 3.238" Properties=species:S:1:pos:R:3 pbc="T T T"
Mg -2.615 -3.793 2.520
Ni -4.349 -5.805 4.123
Si -4.014 -0.148 3.097
Si -1.079 -1.990 1.098
```



No. 2
# Mg3SiNi2

An optimized crystal structure of Mg3SiNi2 (PBE, the Alexandria database).

electronic total energy: -3.267 eV per atom
DOS(E_F): 3.6 states/eV/cell
formation energy from raw total energies: 34.81 kJ/mol of atoms

```
6
Lattice="4.276 -2.673 -0.002 4.276 2.673 -0.002 2.607 0.000 4.316" Properties=species:S:1:pos:R:3 pbc="T T T"
Mg 3.442 -1.336 2.157
Mg 3.442 1.336 2.157
Mg 4.276 0.000 -0.002
Si 5.580 0.000 2.156
Ni 1.352 0.000 0.522
Ni 9.808 0.000 3.790
```



No. 3
# MgSi2Ni

An optimized crystal structure of MgSi2Ni (PBE, the Alexandria database).

electronic total energy: -4.670 eV per atom
DOS(E_F): 2.1 states/eV/cell
formation energy from raw total energies: -11.05 kJ/mol of atoms

```
4
Lattice="2.799 0.010 0.000 -0.017 2.799 0.000 0.000 0.000 7.208" Properties=species:S:1:pos:R:3 pbc="T T T"
Mg 1.391 1.404 1.802
Ni 1.391 1.404 5.406
Si 0.000 0.000 6.889
Si 0.000 0.000 3.923
```



No. 4
# MgSi3Ni2

An optimized crystal structure of MgSi3Ni2 (PBE, the Alexandria database).

electronic total energy: -5.160 eV per atom
DOS(E_F): 2.5 states/eV/cell
formation energy from raw total energies: -24.67 kJ/mol of atoms

```
6
Lattice="3.837 0.000 0.000 0.000 4.303 -2.477 0.000 -0.005 4.964" Properties=species:S:1:pos:R:3 pbc="T T T"
Mg 0.000 0.005 -0.003
Si 1.918 0.003 2.479
Si 1.918 2.154 1.241
Si 1.918 2.157 -1.242
Ni 0.000 1.436 2.481
Ni 0.000 2.872 0.001
```



No. 5
# Mg3Si5Ni6

An optimized crystal structure of Mg3Si5Ni6 (PBE, the Alexandria database).

electronic total energy: -5.193 eV per atom
DOS(E_F): 18.4 states/eV/cell
formation energy from raw total energies: -42.19 kJ/mol of atoms

```
28
Lattice="3.882 0.000 0.000 0.000 8.174 0.000 0.000 0.000 11.754" Properties=species:S:1:pos:R:3 pbc="T T T"
Mg 0.000 1.988 8.145
Mg 1.941 6.187 2.268
Mg 1.941 6.187 9.486
Mg 0.000 1.901 0.000
Mg 1.941 6.274 5.877
Mg 0.000 1.988 3.609
Si 0.000 4.331 10.395
Si 0.000 7.032 7.753
Si 0.000 6.577 0.000
Si 1.941 3.843 7.236
Si 1.941 1.597 5.877
Si 0.000 4.331 1.359
Si 1.941 3.843 4.518
Si 0.000 7.032 4.001
Si 1.941 1.142 9.878
Si 1.941 1.142 1.876
Ni 0.000 8.079 9.878
Ni 1.941 0.096 7.753
Ni 1.941 3.439 9.541
Ni 1.941 4.848 0.000
Ni 0.000 3.326 5.877
Ni 0.000 4.736 8.090
Ni 0.000 4.736 3.664
Ni 1.941 7.921 0.000
Ni 0.000 8.079 1.876
Ni 1.941 3.439 2.213
Ni 0.000 0.254 5.877
Ni 1.941 0.096 4.001
```



No. 6
# MgSiNi2

An optimized crystal structure of MgSiNi2 (PBE, the Alexandria database).

electronic total energy: -5.058 eV per atom
DOS(E_F): 1.9 states/eV/cell
formation energy from raw total energies: -39.86 kJ/mol of atoms

```
4
Lattice="2.824 0.000 0.000 0.000 2.817 -0.012 0.000 2.843 6.378" Properties=species:S:1:pos:R:3 pbc="T T T"
Mg 1.412 4.246 4.774
Ni 0.000 2.820 0.296
Ni 0.000 2.828 2.875
Si 1.412 1.415 1.591
```